Here is an optimized crystal structure of MnCuTc2 from the Alexandria database. Energies are from GGA-PBE.

Output
- Fermi-level density of states (states/eV/cell) = 3.136
- ΔE to the lowest computed polymorph (eV/f.u.) = 1.93
- calculated volume (Å³ per atom) = 14.49
- symmetry = I-42d
- formation enthalpy at 0 K (eV/atom) = 0.62
- total energy (eV for the cell shown) = -63.00

Unit cell a=5.4108 b=5.4108 c=5.4108 alpha=102.71 beta=102.71 gamma=124.05
Atoms (fractional coordinates):
Mn 0.0000 0.0000 0.0000
Mn 0.7500 0.2500 0.5000
Cu 0.2500 0.7500 0.5000
Cu 0.5000 0.5000 0.0000
Tc 0.0777 0.1250 0.4527
Tc 0.3750 0.9223 0.0473
Tc 0.6723 0.6250 0.5473
Tc 0.8750 0.3277 0.9527